This record from the Alexandria database describes a relaxed structure of Rb2ZnRuBr6. The functional is PBE-GGA.

abc: 7.5007 7.5007 7.4769
angles: 59.89 59.89 90.00
With the nearest neighbours (Å) after each atom.
Fractional positions:
Br1 0.7566 0.7566 0.0000  1 Ru 2.58, 1 Zn 2.72
Br2 0.7544 0.7544 0.4912  1 Ru 2.59, 1 Zn 2.68
Br3 0.2456 0.2456 0.5088  1 Ru 2.59, 1 Zn 2.68
Br4 0.7566 0.2434 0.0000  1 Ru 2.58, 1 Zn 2.72
Br5 0.2434 0.7566 0.0000  1 Ru 2.58, 1 Zn 2.72
Br6 0.2434 0.2434 0.0000  1 Ru 2.58, 1 Zn 2.72
Rb1 0.7500 0.2500 0.5000  12 Br 3.74-3.75
Rb2 0.2500 0.7500 0.5000  12 Br 3.74-3.75
Zn1 0.5000 0.5000 0.0000  6 Br 2.68-2.72
Ru1 0.0000 0.0000 0.0000  6 Br 2.58-2.59

Total magnetization = 0.09 μB/atom
Volume = 29.65 Å³ per atom
Raw formation energy = -851 meV/atom
Uncorrected energy = -3.10 eV per atom
Symmetry = No. 139